No. 1
Density functional theory data (PBE) for crystalline NaInP2O at its relaxed geometry.

Structure (extended XYZ):
```
5
Lattice="5.2191 0.0000 0.0000 0.0000 5.2191 0.0000 0.0000 0.0000 4.2215" Properties=species:S:1:pos:R:3 pbc="T T T"
O 0.0000 0.0000 2.1107
P 2.6096 0.0000 0.0000
P 0.0000 2.6096 0.0000
Na 2.6096 2.6096 2.1107
In 0.0000 0.0000 0.0000
```

Computed properties:
As for the symmetry: No. 123. For the formation energy from raw total energies, the calculation gives 0.342 eV/atom. The relative energy among the computed polymorphs is 0 meV per atom.

---

No. 2
Density functional theory data (PBE) for crystalline AlHg2Pt at its relaxed geometry.

Structure (extended XYZ):
```
4
Lattice="5.0445 0.0441 0.0000 -1.9160 4.6667 0.0000 0.0000 0.0000 3.1847" Properties=species:S:1:pos:R:3 pbc="T T T"
Hg 0.0000 0.0000 0.0000
Hg 1.5642 2.3554 0.0000
Pt 2.5222 0.0220 1.5924
Al -0.9580 2.3333 1.5924
```

Computed properties:
As for the symmetry: No. 65. The energy of formation comes out at 0.0747 eV per atom.

---

No. 3
Density functional theory data (PBE) for crystalline InO at its relaxed geometry.

Structure (extended XYZ):
```
4
Lattice="-2.6719 -0.5292 -1.6906 0.0519 -0.6066 3.1475 -2.1367 6.6076 1.3086" Properties=species:S:1:pos:R:3 pbc="T T T"
O -1.7561 5.4304 1.0755
O -0.3807 1.1772 0.2331
In -1.0684 3.3038 0.6543
In -0.8560 -0.5808 1.5348
```

Computed properties:
As for the symmetry: No. 187. For the formation energy from raw total energies, the calculation gives -1.061 eV/atom.

---

No. 4
Density functional theory data (PBE) for crystalline NpPa2SiN5 at its relaxed geometry.

Structure (extended XYZ):
```
18
Lattice="-0.3288 1.4151 -5.3062 5.8474 -2.7453 -1.0945 -2.9293 -5.7053 -1.3400" Properties=species:S:1:pos:R:3 pbc="T T T"
N -1.3044 -2.9621 -5.0798
N 1.4318 -0.7065 -4.6479
N 1.2946 -3.5177 -3.8703
N -1.1293 -3.7157 -2.2542
N 3.8937 -4.0733 -2.6608
N 1.1574 -6.3290 -3.0928
N 3.7186 -3.3198 -5.4865
N 0.9823 -5.5754 -5.9185
N -0.1644 0.7075 -2.6531
N 1.6069 -1.4600 -1.8222
Si -1.4647 -2.8526 -0.6700
Si 2.9237 -1.3726 -0.5472
Np 0.0000 0.0000 0.0000
Np 1.4590 -4.2253 -1.2172
Pa 3.2706 -2.1459 -3.6269
Pa 2.6804 -5.4090 -4.4606
Pa -0.0911 -1.6264 -3.2801
Pa -0.6814 -4.8896 -4.1137
```

Computed properties:
As for the symmetry: No. 127. For the formation energy from raw total energies, the calculation gives -1.118 eV/atom.

---

In states/eV/atom, the density of states at the Fermi level values for the records above are, in order, 0.592 0.326 0.085 0.584.
In Bohr magnetons per cell, the M_tot values for the records above are, in order, 2.23 0.00 0.00 7.57.